This record from Alexandria describes crystalline CdCoSnF6 at its relaxed geometry. The functional is GGA+U.

density of states at the Fermi level = 0.00 states/eV per atom
symmetry = P-31c, No. 163
electronic total energy = -4.5424 eV/atom
volume = 15.70 A^3/atom

a b c (Å): 5.7094 5.7094 10.0125
angles (deg): 90.00 90.00 120.00
Last column: nearest neighbours and their distance in Å.
Sites, in units of the cell vectors:
Cd: 0.3333 0.6667 0.2500  6 F 2.27
Cd: 0.6667 0.3333 0.7500  6 F 2.27
Co: 0.3333 0.6667 0.7500  6 F 2.07
Co: 0.6667 0.3333 0.2500  6 F 2.07
Sn: 0.0000 0.0000 0.0000  6 F 2.43
Sn: 0.0000 0.0000 0.5000  6 F 2.43
F: 0.0265 0.3636 0.6376  1 Co 2.07, 1 Cd 2.27
F: 0.0265 0.6629 0.8624  1 Co 2.07, 1 Cd 2.27
F: 0.3371 0.3636 0.8624  1 Co 2.07, 1 Cd 2.27
F: 0.3371 0.9735 0.6376  1 Co 2.07, 1 Cd 2.27
F: 0.3636 0.0265 0.1376  1 Co 2.07, 1 Cd 2.27
F: 0.3636 0.3371 0.3624  1 Co 2.07, 1 Cd 2.27
F: 0.6364 0.6629 0.6376  1 Co 2.07, 1 Cd 2.27
F: 0.6364 0.9735 0.8624  1 Co 2.07, 1 Cd 2.27
F: 0.6629 0.0265 0.3624  1 Co 2.07, 1 Cd 2.27
F: 0.6629 0.6364 0.1376  1 Co 2.07, 1 Cd 2.27
F: 0.9735 0.3371 0.1376  1 Co 2.07, 1 Cd 2.27
F: 0.9735 0.6364 0.3624  1 Co 2.07, 1 Cd 2.27